No. 1
A geometry-optimized CaTiCr2 structure. Source: the Alexandria database, functional GGA-PBE.

For the calculated formation energy, the calculation gives 0.70 eV/atom. The spin magnetization comes out at 5.8 μB per formula unit.

It has space group Fm-3m (No. 225), with a = 6.684 Å, b = 6.684 Å, c = 6.684 Å, α = 90.00°, β = 90.00° and γ = 90.00°. The distinct sites, in fractional coordinates, are Ca at (0.000, 0.000, 0.000), Ti at (0.000, 0.000, 0.500) and Cr at (0.250, 0.250, 0.250).

---

No. 2
A geometry-optimized CaTi2Cr structure. Source: the Alexandria database, functional GGA-PBE.

For the calculated formation energy, the calculation gives 1.04 eV/atom. The spin magnetization comes out at 0.0 μB per formula unit.

It has space group I4_1/amd (No. 141, origin choice 2), with a = 6.822 Å, b = 6.822 Å, c = 9.624 Å, α = 90.00°, β = 90.00° and γ = 90.00°. The distinct sites, in fractional coordinates, are Ca at (0.000, 0.250, 0.375), Ti at (0.000, 0.000, 0.000) and Cr at (0.000, 0.250, 0.875).

---

No. 3
A geometry-optimized CaTi2Cr structure. Source: the Alexandria database, functional GGA-PBE.

For the calculated formation energy, the calculation gives 0.68 eV/atom. The spin magnetization comes out at 0.0 μB per formula unit.

It has space group Fm-3m (No. 225), with a = 6.593 Å, b = 6.593 Å, c = 6.593 Å, α = 90.00°, β = 90.00° and γ = 90.00°. The distinct sites, in fractional coordinates, are Ca at (0.000, 0.000, 0.000), Ti at (0.250, 0.250, 0.250) and Cr at (0.000, 0.000, 0.500).

---

No. 4
A geometry-optimized CaTi2Cr2 structure. Source: the Alexandria database, functional GGA-PBE.

For the calculated formation energy, the calculation gives 0.40 eV/atom. The spin magnetization comes out at 3.8 μB per formula unit.

It has space group P4/mbm (No. 127), with a = 7.743 Å, b = 7.743 Å, c = 3.052 Å, α = 90.00°, β = 90.00° and γ = 90.00°. The distinct sites, in fractional coordinates, are Ca at (0.000, 0.000, 0.000), Ti at (0.143, 0.357, 0.500) and Cr at (0.137, 0.637, 0.000).

---

No. 5
A geometry-optimized CaTl2Cr structure. Source: the Alexandria database, functional GGA-PBE.

For the calculated formation energy, the calculation gives 0.38 eV/atom. The spin magnetization comes out at 4.4 μB per formula unit.

It has space group I-42d (No. 122), with a = 4.694 Å, b = 4.694 Å, c = 20.983 Å, α = 90.00°, β = 90.00° and γ = 90.00°. The distinct sites, in fractional coordinates, are Ca at (0.000, 0.000, 0.000), Tl at (0.221, 0.250, 0.625) and Cr at (0.000, 0.000, 0.500).

---

No. 6
A geometry-optimized CaTlCr4 structure. Source: the Alexandria database, functional GGA-PBE.

For the calculated formation energy, the calculation gives 0.64 eV/atom. The spin magnetization comes out at 0.0 μB per formula unit.

It has space group F-43m (No. 216), with a = 7.234 Å, b = 7.234 Å, c = 7.234 Å, α = 90.00°, β = 90.00° and γ = 90.00°. The distinct sites, in fractional coordinates, are Ca at (0.000, 0.000, 0.000), Tl at (0.250, 0.250, 0.250) and Cr at (0.125, 0.125, 0.625).

---

No. 7
A geometry-optimized CaTl2Cr structure. Source: the Alexandria database, functional GGA-PBE.

For the calculated formation energy, the calculation gives 0.20 eV/atom. The spin magnetization comes out at 4.3 μB per formula unit.

It has space group I-4m2 (No. 119), with a = 4.651 Å, b = 4.651 Å, c = 9.521 Å, α = 90.00°, β = 90.00° and γ = 90.00°. The distinct sites, in fractional coordinates, are Ca at (0.000, 0.000, 0.000), Tl at (0.000, 0.000, 0.500), Tl at (0.000, 0.500, 0.250) and Cr at (0.000, 0.500, 0.750).

---

No. 8
A geometry-optimized CaTl2Cr structure. Source: the Alexandria database, functional GGA-PBE.

For the calculated formation energy, the calculation gives 0.09 eV/atom. The spin magnetization comes out at 4.1 μB per formula unit.

It has space group Pmmm (No. 47), with a = 3.633 Å, b = 3.656 Å, c = 7.450 Å, α = 90.00°, β = 90.00° and γ = 90.00°. The distinct sites, in fractional coordinates, are Ca at (0.000, 0.000, 0.000), Tl at (0.500, 0.500, 0.284) and Cr at (0.000, 0.000, 0.500).

---

No. 9
A geometry-optimized Ca2Tl2Cr structure. Source: the Alexandria database, functional GGA-PBE.

For the calculated formation energy, the calculation gives 0.87 eV/atom. The spin magnetization comes out at 0.7 μB per formula unit.

It has space group I4/mmm (No. 139), with a = 4.525 Å, b = 4.525 Å, c = 14.195 Å, α = 90.00°, β = 90.00° and γ = 90.00°. The distinct sites, in fractional coordinates, are Ca at (0.000, 0.500, 0.250), Tl at (0.000, 0.000, 0.097) and Cr at (0.000, 0.000, 0.500).

---

No. 10
A geometry-optimized CaTl2Cr structure. Source: the Alexandria database, functional GGA-PBE.

For the calculated formation energy, the calculation gives 0.25 eV/atom. The spin magnetization comes out at 4.8 μB per formula unit.

It has space group P4mm (No. 99), with a = 3.912 Å, b = 3.912 Å, c = 7.024 Å, α = 90.00°, β = 90.00° and γ = 90.00°. The distinct sites, in fractional coordinates, are Ca at (0.000, 0.000, 0.000), Tl at (0.000, 0.000, 0.467), Tl at (0.500, 0.500, 0.734) and Cr at (0.500, 0.500, 0.283).

---

No. 11
A geometry-optimized CaTl2Cr structure. Source: the Alexandria database, functional GGA-PBE.

For the calculated formation energy, the calculation gives 0.16 eV/atom. The spin magnetization comes out at 3.9 μB per formula unit.

It has space group C2/m (No. 12), with a = 9.949 Å, b = 3.867 Å, c = 5.686 Å, α = 90.00°, β = 108.61° and γ = 90.00°. The distinct sites, in fractional coordinates, are Ca at (0.000, 0.000, 0.000), Tl at (0.232, 0.000, 0.714) and Cr at (0.000, 0.500, 0.500).

---

No. 12
A geometry-optimized Ca2Tl2Cr structure. Source: the Alexandria database, functional GGA-PBE.

For the calculated formation energy, the calculation gives 0.34 eV/atom. The spin magnetization comes out at 0.0 μB per formula unit.

It has space group P4/mbm (No. 127), with a = 7.349 Å, b = 7.349 Å, c = 5.012 Å, α = 90.00°, β = 90.00° and γ = 90.00°. The distinct sites, in fractional coordinates, are Ca at (0.171, 0.329, 0.000), Tl at (0.152, 0.652, 0.500) and Cr at (0.000, 0.000, 0.500).

---

No. 13
A geometry-optimized CaTl2Cr structure. Source: the Alexandria database, functional GGA-PBE.

For the calculated formation energy, the calculation gives 0.24 eV/atom. The spin magnetization comes out at 3.9 μB per formula unit.

It has space group R-3m (No. 166, hexagonal axes), with a = 3.6156 Å, b = 3.6156 Å, c = 27.9432 Å, α = 90.00°, β = 90.00° and γ = 120.00°. The distinct sites, in fractional coordinates, are Ca at (0.0000, 0.0000, 0.0000), Tl at (0.0000, 0.0000, 0.2411) and Cr at (0.0000, 0.0000, 0.5000).

---

No. 14
A geometry-optimized CaTl2Cr structure. Source: the Alexandria database, functional GGA-PBE.

For the calculated formation energy, the calculation gives 0.24 eV/atom. The spin magnetization comes out at 4.2 μB per formula unit.

It has space group Imm2 (No. 44), with a = 3.797 Å, b = 4.376 Å, c = 13.076 Å, α = 90.00°, β = 90.00° and γ = 90.00°. The distinct sites, in fractional coordinates, are Ca at (0.000, 0.000, 0.000), Tl at (0.000, 0.000, 0.389), Tl at (0.000, 0.500, 0.201) and Cr at (0.000, 0.500, 0.714).

---

No. 15
A geometry-optimized CaTl2Cr structure. Source: the Alexandria database, functional GGA-PBE.

For the calculated formation energy, the calculation gives 0.25 eV/atom. The spin magnetization comes out at 5.1 μB per formula unit.

It has space group F-43m (No. 216), with a = 7.481 Å, b = 7.481 Å, c = 7.481 Å, α = 90.00°, β = 90.00° and γ = 90.00°. The distinct sites, in fractional coordinates, are Ca at (0.000, 0.000, 0.000), Tl at (0.000, 0.000, 0.500), Tl at (0.250, 0.250, 0.750) and Cr at (0.250, 0.250, 0.250).

---

No. 16
A geometry-optimized CaTl2Cr structure. Source: the Alexandria database, functional GGA-PBE.

For the calculated formation energy, the calculation gives 0.16 eV/atom. The spin magnetization comes out at 4.2 μB per formula unit.

It has space group P4/mmm (No. 123), with a = 4.831 Å, b = 4.831 Å, c = 4.334 Å, α = 90.00°, β = 90.00° and γ = 90.00°. The distinct sites, in fractional coordinates, are Ca at (0.000, 0.000, 0.000), Tl at (0.000, 0.500, 0.500) and Cr at (0.500, 0.500, 0.000).

---

No. 17
A geometry-optimized CaTlCr3 structure. Source: the Alexandria database, functional GGA-PBE.

For the calculated formation energy, the calculation gives 1.20 eV/atom. The spin magnetization comes out at 13.1 μB per formula unit.

It has space group Pm-3m (No. 221), with a = 5.249 Å, b = 5.249 Å, c = 5.249 Å, α = 90.00°, β = 90.00° and γ = 90.00°. The distinct sites, in fractional coordinates, are Ca at (0.000, 0.000, 0.000), Tl at (0.500, 0.500, 0.500) and Cr at (0.000, 0.500, 0.500).

---

No. 18
A geometry-optimized Ca4TlCr structure. Source: the Alexandria database, functional GGA-PBE.

For the calculated formation energy, the calculation gives 0.56 eV/atom. The spin magnetization comes out at 4.6 μB per formula unit.

It has space group F-43m (No. 216), with a = 9.477 Å, b = 9.477 Å, c = 9.477 Å, α = 90.00°, β = 90.00° and γ = 90.00°. The distinct sites, in fractional coordinates, are Ca at (0.125, 0.125, 0.125), Tl at (0.000, 0.000, 0.500) and Cr at (0.250, 0.250, 0.750).

---

No. 19
A geometry-optimized Ca2YTlCr structure. Source: the Alexandria database, functional GGA-PBE.

For the calculated formation energy, the calculation gives 0.58 eV/atom. The spin magnetization comes out at 4.0 μB per formula unit.

It has space group P4/mmm (No. 123), with a = 5.836 Å, b = 5.836 Å, c = 5.244 Å, α = 90.00°, β = 90.00° and γ = 90.00°. The distinct sites, in fractional coordinates, are Ca at (0.000, 0.500, 0.000), Y at (0.000, 0.000, 0.500), Tl at (0.500, 0.500, 0.000) and Cr at (0.500, 0.500, 0.500).

---

No. 20
A geometry-optimized CaVCr2 structure. Source: the Alexandria database, functional GGA-PBE.

For the calculated formation energy, the calculation gives 1.16 eV/atom. The spin magnetization comes out at 2.4 μB per formula unit.

It has space group I4_1/amd (No. 141, origin choice 2), with a = 4.592 Å, b = 4.592 Å, c = 16.577 Å, α = 90.00°, β = 90.00° and γ = 90.00°. The distinct sites, in fractional coordinates, are Ca at (0.000, 0.250, 0.375), V at (0.000, 0.250, 0.875) and Cr at (0.000, 0.000, 0.000).

---

No. 21
A geometry-optimized CaVCr2 structure. Source: the Alexandria database, functional GGA-PBE.

For the calculated formation energy, the calculation gives 0.74 eV/atom. The spin magnetization comes out at 4.4 μB per formula unit.

It has space group Fm-3m (No. 225), with a = 6.579 Å, b = 6.579 Å, c = 6.579 Å, α = 90.00°, β = 90.00° and γ = 90.00°. The distinct sites, in fractional coordinates, are Ca at (0.000, 0.000, 0.000), V at (0.000, 0.000, 0.500) and Cr at (0.250, 0.250, 0.250).

---

No. 22
A geometry-optimized Ca3VCr structure. Source: the Alexandria database, functional GGA-PBE.

For the calculated formation energy, the calculation gives 1.14 eV/atom. The spin magnetization comes out at 8.6 μB per formula unit.

It has space group Pm-3m (No. 221), with a = 5.681 Å, b = 5.681 Å, c = 5.681 Å, α = 90.00°, β = 90.00° and γ = 90.00°. The distinct sites, in fractional coordinates, are Ca at (0.000, 0.000, 0.500), V at (0.500, 0.500, 0.500) and Cr at (0.000, 0.000, 0.000).

---

No. 23
A geometry-optimized Ca3VCr structure. Source: the Alexandria database, functional GGA-PBE.

For the calculated formation energy, the calculation gives 1.09 eV/atom. The spin magnetization comes out at 10.1 μB per formula unit.

It has space group Pm-3m (No. 221), with a = 5.764 Å, b = 5.764 Å, c = 5.764 Å, α = 90.00°, β = 90.00° and γ = 90.00°. The distinct sites, in fractional coordinates, are Ca at (0.000, 0.000, 0.500), V at (0.000, 0.000, 0.000) and Cr at (0.500, 0.500, 0.500).

---

No. 24
A geometry-optimized CaVCr3 structure. Source: the Alexandria database, functional GGA-PBE.

For the calculated formation energy, the calculation gives 0.91 eV/atom. The spin magnetization comes out at 7.6 μB per formula unit.

It has space group Pm-3m (No. 221), with a = 4.600 Å, b = 4.600 Å, c = 4.600 Å, α = 90.00°, β = 90.00° and γ = 90.00°. The distinct sites, in fractional coordinates, are Ca at (0.000, 0.000, 0.000), V at (0.500, 0.500, 0.500) and Cr at (0.000, 0.500, 0.500).

---

No. 25
A geometry-optimized CaZrV2Cr structure. Source: the Alexandria database, functional GGA-PBE.

For the calculated formation energy, the calculation gives 0.72 eV/atom. The spin magnetization comes out at 0.0 μB per formula unit.

It has space group P4/mmm (No. 123), with a = 4.519 Å, b = 4.519 Å, c = 4.957 Å, α = 90.00°, β = 90.00° and γ = 90.00°. The distinct sites, in fractional coordinates, are Ca at (0.000, 0.000, 0.000), Zr at (0.500, 0.500, 0.000), V at (0.000, 0.500, 0.500) and Cr at (0.500, 0.500, 0.500).

---

No. 26
A geometry-optimized Ca2Cr2W structure. Source: the Alexandria database, functional GGA-PBE.

For the calculated formation energy, the calculation gives 1.26 eV/atom. The spin magnetization comes out at 1.3 μB per formula unit.

It has space group P4/mbm (No. 127), with a = 8.256 Å, b = 8.256 Å, c = 2.973 Å, α = 90.00°, β = 90.00° and γ = 90.00°. The distinct sites, in fractional coordinates, are Ca at (0.211, 0.289, 0.000), Cr at (0.078, 0.578, 0.500) and W at (0.000, 0.000, 0.500).

---

No. 27
A geometry-optimized CaCrW structure. Source: the Alexandria database, functional GGA-PBE.

For the calculated formation energy, the calculation gives 0.98 eV/atom. The spin magnetization comes out at 2.3 μB per formula unit.

It has space group P3m1 (No. 156), with a = 4.7052 Å, b = 4.7052 Å, c = 2.9515 Å, α = 90.00°, β = 90.00° and γ = 120.00°. The distinct sites, in fractional coordinates, are Ca at (0.0000, 0.0000, 0.0000), Cr at (0.3333, 0.6667, 0.4049) and W at (0.6667, 0.3333, 0.5774).

---

No. 28
A geometry-optimized CaCrW structure. Source: the Alexandria database, functional GGA-PBE.

For the calculated formation energy, the calculation gives 1.33 eV/atom. The spin magnetization comes out at 0.3 μB per formula unit.

It has space group F-43m (No. 216), with a = 6.309 Å, b = 6.309 Å, c = 6.309 Å, α = 90.00°, β = 90.00° and γ = 90.00°. The distinct sites, in fractional coordinates, are Ca at (0.000, 0.000, 0.000), Cr at (0.250, 0.250, 0.250) and W at (0.000, 0.000, 0.500).